The following is a PBE calculation of a relaxed structure of BaAl2Os, from Alexandria.

```
data_BaAl2Os
_chemical_formula_sum 'Ba2 Al4 Os2'
_cell_length_a 3.137
_cell_length_b 4.154
_cell_length_c 14.440
_cell_angle_alpha 90.00
_cell_angle_beta 90.00
_cell_angle_gamma 90.00
_space_group_name_H-M_alt 'I m m 2'
_space_group_IT_number 44
_space_group_name_Hall 'I 2 -2'
loop_
_atom_site_label
_atom_site_fract_x
_atom_site_fract_y
_atom_site_fract_z
Ba1 0.000 0.000 0.000
Al1 0.000 0.000 0.341
Al2 0.000 0.500 0.204
Os1 0.000 0.500 0.708
```

- energy (eV/atom) = -5.1574
- volume (Å³/cell) = 188.2
- calculated formation energy (eV/atom) = 0.00
- mass density (kg/m³) = 6734
- crystal system = orthorhombic